[1]
LiGaS2 PBE optimized geometry; raw total energy = -4.175 eV/atom; SG = P3m1; E_form (uncorrected) = -0.88 eV/atom; DOS(E_F) = 0.00 states/eV/cell
1.0
3.299 -1.905 0.000
0.000 3.810 0.000
0.000 0.000 6.745
Li Ga S
1 1 2
Direct
0.000 0.000 0.885
0.333 0.667 0.466
0.667 0.333 0.314
0.333 0.667 0.789

***

[2]
PaNiH8Rh4 PBE optimized geometry; raw total energy = -5.276 eV/atom; SG = R3m; DOS(E_F) = 4.30 states/eV/cell
1.0
-1.655 4.761 -2.785
0.457 0.288 -5.733
-4.446 0.040 -3.245
H Pa Rh Ni
8 1 4 1
Direct
0.206 0.206 0.730
0.859 0.206 0.730
0.206 0.859 0.730
0.777 0.221 0.225
0.219 0.219 0.342
0.762 0.762 0.713
0.221 0.777 0.225
0.777 0.777 0.225
0.390 0.390 0.830
0.579 0.579 0.263
0.508 0.999 0.494
0.999 0.508 0.494
0.999 0.999 0.494
0.998 0.998 0.006

***

[3]
BeTl2Cr PBE optimized geometry; raw total energy = -3.705 eV/atom; energy relative to the lowest polymorph listed for this composition = 1.15 eV per formula unit; E_form = 3.26 eV/f.u.; SG = C2/m; DOS(E_F) = 2.23 states/eV/cell
1.0
-0.001 4.803 -2.885
-4.869 -0.654 2.694
-0.231 2.451 2.196
Tl Be Cr
2 1 1
Direct
0.500 0.500 0.000
0.000 0.000 0.000
0.500 0.000 0.500
0.000 0.500 0.500

***

[4]
PO PBE optimized geometry; raw total energy = -6.221 eV/atom; energy relative to the lowest polymorph listed for this composition = 0.07 eV per formula unit; SG = P2_12_12_1; E_form (uncorrected) = -1.04 eV/atom; DOS(E_F) = 0.00 states/eV/cell
1.0
-4.239 -0.553 1.085
-0.496 -4.322 -4.140
2.116 -5.482 5.470
O P
8 8
Direct
0.772 0.435 0.515
0.050 0.713 0.261
0.728 0.565 0.015
0.450 0.287 0.761
0.950 0.213 0.239
0.550 0.787 0.739
0.272 0.065 0.485
0.228 0.935 0.985
0.733 0.689 0.194
0.045 0.473 0.909
0.233 0.811 0.806
0.455 0.527 0.409
0.955 0.973 0.591
0.267 0.189 0.306
0.545 0.027 0.091
0.767 0.311 0.694

***

[5]
RbMnPt PBE optimized geometry; raw total energy = -5.313 eV/atom; energy relative to the lowest polymorph listed for this composition = 0.14 eV per formula unit; E_form = 0.24 eV/f.u.; SG = Cm; DOS(E_F) = 2.81 states/eV/cell
1.0
-1.881 -4.629 -0.155
2.523 -3.061 -3.046
1.560 -4.301 10.506
Rb Mn Pt
2 2 2
Direct
0.901 0.615 0.163
0.881 0.448 0.589
0.198 0.229 0.822
0.585 0.835 0.931
0.643 0.281 0.876
0.140 0.783 0.876

***

[6]
RbGePt3 PBE optimized geometry; raw total energy = -2.593 eV/atom; energy relative to the lowest polymorph listed for this composition = 11.64 eV per formula unit; E_form = 10.74 eV/f.u.; SG = Pm-3m; DOS(E_F) = 5.04 states/eV/cell
1.0
-2.589 -3.980 1.839
-0.641 -1.769 -4.731
4.337 -2.637 0.398
Pt Ge Rb
3 1 1
Direct
0.000 0.500 0.000
0.000 0.000 0.500
0.500 0.000 0.000
0.500 0.500 0.500
0.000 0.000 0.000

***

[7]
YBiCl3 PBE optimized geometry; raw total energy = -4.365 eV/atom; energy relative to the lowest polymorph listed for this composition = 0.00 eV per formula unit; SG = Pm-3m; E_form (uncorrected) = -1.19 eV/atom; DOS(E_F) = 0.10 states/eV/cell
1.0
5.406 0.000 0.000
0.000 5.406 0.000
0.000 0.000 5.406
Cl Bi Y
3 1 1
Direct
0.000 0.000 0.500
0.500 0.000 0.000
0.000 0.500 0.000
0.500 0.500 0.500
0.000 0.000 0.000

***

[8]
Ba2LiIn6Ag PBE optimized geometry; raw total energy = -2.743 eV/atom; E_form = -2.38 eV/f.u.; SG = P-1; DOS(E_F) = 3.61 states/eV/cell
1.0
-5.978 -5.110 0.312
4.743 -5.493 1.001
-0.564 -4.296 5.917
Ba In Li Ag
2 6 1 1
Direct
0.628 0.209 0.582
0.372 0.791 0.418
0.823 0.330 0.929
0.178 0.251 0.079
0.179 0.258 0.492
0.177 0.670 0.071
0.822 0.749 0.921
0.821 0.742 0.508
0.500 0.500 0.000
0.000 0.000 0.000